# 1
Entry from Alexandria: a relaxed Th2In9Pb crystal (PBE).

abc: 4.7545 4.7545 14.4268
angles: 90.00 90.00 90.00
With the nearest neighbours (Å) after each atom.
Sites, in units of the cell vectors:
1 Th 0.0000 0.0000 0.3391  12 In 3.32-3.41
2 Th 0.0000 0.0000 0.6609  12 In 3.32-3.41
3 In 0.0000 0.5000 0.8305  8 In 3.36-3.41, 2 Pb 3.41, 2 Th 3.41
4 In 0.0000 0.5000 0.1695  8 In 3.36-3.41, 2 Pb 3.41, 2 Th 3.41
5 In 0.0000 0.5000 0.5000  4 Th 3.32, 8 In 3.35-3.36
6 In 0.5000 0.5000 0.6635  8 In 3.35-3.38, 4 Th 3.36
7 In 0.5000 0.0000 0.1695  8 In 3.36-3.41, 2 Pb 3.41, 2 Th 3.41
8 In 0.5000 0.5000 0.3365  8 In 3.35-3.38, 4 Th 3.36
9 In 0.5000 0.0000 0.5000  4 Th 3.32, 8 In 3.35-3.36
10 In 0.5000 0.0000 0.8305  8 In 3.36-3.41, 2 Pb 3.41, 2 Th 3.41
11 In 0.5000 0.5000 0.0000  4 Pb 3.36, 8 In 3.41
12 Pb 0.0000 0.0000 0.0000  12 In 3.36-3.41

Properties
Space-group type: P4/mmm



# 2
Entry from Alexandria: a relaxed ThInPb6 crystal (PBE).

abc: 5.0162 6.9177 6.9177
angles: 90.08 90.00 90.00
With the nearest neighbours (Å) after each atom.
Sites, in units of the cell vectors:
1 Pb 0.0000 0.7462 0.7462  8 Pb 3.41-3.51, 2 In 3.48, 2 Th 3.53
2 Pb 0.0000 0.7470 0.2530  8 Pb 3.41-3.51, 2 In 3.48, 2 Th 3.52
3 Pb 0.5000 0.0000 0.5000  2 Th 3.46, 2 In 3.46, 8 Pb 3.50
4 Pb 0.5000 0.5000 0.0000  2 In 3.46, 2 Th 3.46, 8 Pb 3.50
5 Pb 0.0000 0.2530 0.7470  8 Pb 3.41-3.51, 2 In 3.48, 2 Th 3.52
6 Pb 0.0000 0.2538 0.2538  8 Pb 3.41-3.51, 2 In 3.48, 2 Th 3.53
7 In 0.5000 0.5000 0.5000  12 Pb 3.46-3.48
8 Th 0.5000 0.0000 0.0000  12 Pb 3.46-3.53

Properties
Space-group type: Cmmm



# 3
Entry from Alexandria: a relaxed ThInPb crystal (PBE).

abc: 3.8515 3.8515 6.4596
angles: 107.34 107.34 90.00
With the nearest neighbours (Å) after each atom.
Sites, in units of the cell vectors:
1 Pb 0.9347 0.9347 0.8694  4 In 3.18, 4 Th 3.49
2 Th 0.6214 0.6214 0.2429  4 In 3.39, 5 Pb 3.49-3.67
3 In 0.2939 0.2939 0.5878  4 Pb 3.18, 4 Th 3.39

Properties
ΔE to the lowest computed polymorph in meV/atom: 142.5
Space-group type: I4mm



# 4
Entry from Alexandria: a relaxed ThInPb3 crystal (PBE).

abc: 3.4536 13.1083 4.9061
angles: 89.61 135.18 90.54
With the nearest neighbours (Å) after each atom.
Sites, in units of the cell vectors:
1 Pb 0.5136 0.3321 0.8207  6 Pb 3.40-3.46, 4 Th 3.47-3.50
2 Pb 0.9707 0.5556 0.3226  6 Pb 3.40-3.46, 4 In 3.43-3.46
3 Pb 0.4933 0.9539 0.8200  2 In 3.26-3.31, 4 Pb 3.45-3.46, 4 Th 3.46-3.49
4 Th 0.5027 0.1424 0.3199  4 Th 3.45-3.46, 8 Pb 3.46-3.50
5 In 0.9737 0.7408 0.8220  6 Pb 3.26-3.46, 4 In 3.45-3.46

Properties
Space-group type: P1



# 5
Entry from Alexandria: a relaxed Th3InPb3 crystal (PBE).

abc: 5.9284 9.1331 9.1331
angles: 120.00 90.00 90.00
With the nearest neighbours (Å) after each atom.
Sites, in units of the cell vectors:
1 Th 0.2500 0.0898 0.6398  5 Pb 3.25-3.53, 3 In 3.46-3.64
2 Th 0.7500 0.9102 0.3602  5 Pb 3.25-3.53, 3 In 3.46-3.64
3 Th 0.7500 0.6398 0.5500  5 Pb 3.25-3.53, 3 In 3.46-3.64
4 Th 0.7500 0.4500 0.0898  5 Pb 3.25-3.53, 3 In 3.46-3.64
5 Th 0.2500 0.5500 0.9102  5 Pb 3.25-3.53, 3 In 3.46-3.64
6 Th 0.2500 0.3602 0.4500  5 Pb 3.25-3.53, 3 In 3.46-3.64
7 Pb 0.7500 0.2027 0.2559  5 Th 3.25-3.53, 1 In 3.32
8 Pb 0.2500 0.9468 0.2027  5 Th 3.25-3.53, 1 In 3.32
9 Pb 0.2500 0.7973 0.7441  5 Th 3.25-3.53, 1 In 3.32
10 Pb 0.2500 0.2559 0.0532  5 Th 3.25-3.53, 1 In 3.32
11 Pb 0.7500 0.0532 0.7973  5 Th 3.25-3.53, 1 In 3.32
12 Pb 0.7500 0.7441 0.9468  5 Th 3.25-3.53, 1 In 3.32
13 In 0.7500 0.3333 0.6667  3 Pb 3.32, 9 Th 3.46-3.64
14 In 0.2500 0.6667 0.3333  3 Pb 3.32, 9 Th 3.46-3.64

Properties
Space-group type: P6_3/m



# 6
Entry from Alexandria: a relaxed Th2InPb crystal (PBE).

abc: 5.5348 5.5348 5.5348
angles: 60.00 60.00 60.00
With the nearest neighbours (Å) after each atom.
Sites, in units of the cell vectors:
1 Th 0.2500 0.2500 0.2500  4 In 3.39, 4 Pb 3.39
2 Th 0.7500 0.7500 0.7500  4 In 3.39, 4 Pb 3.39
3 In 0.5000 0.5000 0.5000  8 Th 3.39
4 Pb 0.0000 0.0000 0.0000  8 Th 3.39

Properties
ΔE to the lowest computed polymorph in meV/atom: 135.2
Space-group type: Fm-3m



# 7
Entry from Alexandria: a relaxed ThInPb crystal (PBE).

abc: 3.4315 5.4135 5.4135
angles: 120.00 90.00 90.00
With the nearest neighbours (Å) after each atom.
Sites, in units of the cell vectors:
1 In 0.1632 0.0000 0.0000  3 Pb 3.13, 2 In 3.43
2 Th 0.6665 0.6667 0.3333  2 Th 3.43, 6 Pb 3.56-3.57, 6 In 3.56-3.57
3 Pb 0.1702 0.3333 0.6667  3 In 3.13, 2 Pb 3.43

Properties
ΔE to the lowest computed polymorph in meV/atom: 130.1
Space-group type: P3m1



# 8
Entry from Alexandria: a relaxed Th2InPb9 crystal (PBE).

abc: 4.8818 4.8818 15.1672
angles: 90.00 90.00 90.00
With the nearest neighbours (Å) after each atom.
Sites, in units of the cell vectors:
1 Pb 0.5000 0.0000 0.5000  4 Th 3.36, 8 Pb 3.45-3.53
2 Pb 0.0000 0.5000 0.5000  4 Th 3.36, 8 Pb 3.45-3.53
3 Pb 0.5000 0.0000 0.8331  8 Pb 3.45-3.52, 2 In 3.52, 2 Th 3.67
4 Pb 0.0000 0.5000 0.1669  8 Pb 3.45-3.52, 2 In 3.52, 2 Th 3.67
5 Pb 0.5000 0.0000 0.1669  8 Pb 3.45-3.52, 2 In 3.52, 2 Th 3.67
6 Pb 0.0000 0.5000 0.8331  8 Pb 3.45-3.52, 2 In 3.52, 2 Th 3.67
7 Pb 0.5000 0.5000 0.3319  4 Th 3.46, 8 Pb 3.50-3.53
8 Pb 0.5000 0.5000 0.6681  4 Th 3.46, 8 Pb 3.50-3.53
9 Pb 0.5000 0.5000 0.0000  4 In 3.45, 8 Pb 3.52
10 In 0.0000 0.0000 0.0000  12 Pb 3.45-3.52
11 Th 0.0000 0.0000 0.3479  12 Pb 3.36-3.67
12 Th 0.0000 0.0000 0.6521  12 Pb 3.36-3.67

Properties
Space-group type: P4/mmm



# 9
Entry from Alexandria: a relaxed Th2InPb crystal (PBE).

abc: 3.5488 3.5488 9.3294
angles: 90.00 90.00 90.00
With the nearest neighbours (Å) after each atom.
Sites, in units of the cell vectors:
1 In 0.5000 0.5000 0.0000  8 Th 3.38, 4 In 3.55
2 Th 0.0000 0.0000 0.7581  4 In 3.38, 4 Pb 3.48, 4 Th 3.55
3 Th 0.0000 0.0000 0.2419  4 In 3.38, 4 Pb 3.48, 4 Th 3.55
4 Pb 0.5000 0.5000 0.5000  8 Th 3.48, 4 Pb 3.55

Properties
ΔE to the lowest computed polymorph in meV/atom: 4.9
Space-group type: P4/mmm



# 10
Entry from Alexandria: a relaxed Th8In2Pb crystal (PBE).

abc: 5.8749 8.9038 8.6148
angles: 58.88 78.40 67.11
With the nearest neighbours (Å) after each atom.
Sites, in units of the cell vectors:
1 Pb 0.5000 0.0000 0.0000  12 Th 3.33-3.73
2 Th 0.5000 0.2273 0.5454  2 In 3.17, 1 Pb 3.35
3 Th 0.5000 0.7727 0.4546  2 In 3.17, 1 Pb 3.35
4 Th 0.1098 0.9197 0.7772  2 Th 3.15-3.29, 2 In 3.28-3.30
5 Th 0.6966 0.5948 0.0000  2 In 3.28, 4 Th 3.30-3.62, 1 Pb 3.33
6 Th 0.8902 0.3032 0.7772  2 Th 3.15-3.29, 2 In 3.28-3.30
7 Th 0.1098 0.6968 0.2228  2 Th 3.15-3.29, 2 In 3.28-3.30
8 Th 0.3034 0.4052 0.0000  2 In 3.28, 4 Th 3.30-3.62, 1 Pb 3.33
9 Th 0.8902 0.0803 0.2228  2 Th 3.15-3.29, 2 In 3.28-3.30
10 In 0.0000 0.3081 0.3839  8 Th 3.17-3.30
11 In 0.0000 0.6919 0.6161  8 Th 3.17-3.30

Properties
Space-group type: C2/m



# 11
Entry from Alexandria: a relaxed Th2InPb4 crystal (PBE).

abc: 6.8593 6.8593 6.7593
angles: 120.65 120.65 89.75
With the nearest neighbours (Å) after each atom.
Sites, in units of the cell vectors:
1 Pb 0.7859 0.7859 0.0717  4 Th 3.37, 2 In 3.38, 4 Pb 3.43
2 Pb 0.7857 0.2857 0.0714  2 In 3.37, 4 Th 3.38, 4 Pb 3.43
3 Pb 0.2856 0.2856 0.0712  4 Th 3.37, 2 In 3.38, 4 Pb 3.43
4 Pb 0.2857 0.7857 0.0714  2 In 3.37, 4 Th 3.38, 4 Pb 3.43
5 Th 0.7856 0.2858 0.5714  8 Pb 3.37-3.38, 2 In 3.43
6 Th 0.2858 0.7856 0.5714  8 Pb 3.37-3.38, 2 In 3.43
7 In 0.7857 0.7857 0.5715  8 Pb 3.37-3.38, 4 Th 3.43

Properties
Space-group type: Fmmm



# 12
Entry from Alexandria: a relaxed Th2InPb crystal (PBE).

abc: 4.6415 5.0291 5.0291
angles: 90.00 90.00 90.00
With the nearest neighbours (Å) after each atom.
Sites, in units of the cell vectors:
1 Pb 0.5000 0.5000 0.5000  8 Th 3.42, 4 In 3.56
2 In 0.5000 0.0000 0.0000  8 Th 3.42, 4 Pb 3.56
3 Th 0.0000 0.5000 0.0000  4 In 3.42, 4 Pb 3.42, 4 Th 3.56
4 Th 0.0000 0.0000 0.5000  4 In 3.42, 4 Pb 3.42, 4 Th 3.56

Properties
ΔE to the lowest computed polymorph in meV/atom: 11.8
Space-group type: P4/mmm



# 13
Entry from Alexandria: a relaxed ThInPb crystal (PBE).

abc: 4.7297 6.1663 6.5998
angles: 90.00 90.00 112.55
With the nearest neighbours (Å) after each atom.
Sites, in units of the cell vectors:
1 Pb 0.1484 0.2968 0.7500  5 Th 3.30-3.39, 4 In 3.34
2 Pb 0.8516 0.7032 0.2500  5 Th 3.30-3.39, 4 In 3.34
3 Th 0.1489 0.2977 0.2500  5 Pb 3.30-3.39, 4 In 3.35
4 Th 0.8511 0.7023 0.7500  5 Pb 3.30-3.39, 4 In 3.35
5 In 0.5000 0.0000 0.5000  2 In 3.30, 4 Pb 3.34, 4 Th 3.35
6 In 0.5000 0.0000 0.0000  2 In 3.30, 4 Pb 3.34, 4 Th 3.35

Properties
ΔE to the lowest computed polymorph in meV/atom: 7.1
Space-group type: Cmcm



The calculation returns the following DFT formation energy values, one per record and in order: -187 -67 -106 -26 -117 -157 -119 -131 -287 41 -173 -281 -242 meV per atom.
The calculation returns the following raw total energy values, one per record and in order: -3.79 -4.12 -4.73 -4.28 -5.28 -5.48 -4.74 -4.38 -5.61 -6.19 -4.80 -5.60 -4.86 eV per atom.
The calculation returns the following spin magnetization values, one per record and in order: 0.00 0.00 0.00 0.00 0.00 0.71 0.00 0.00 0.00 0.00 0.00 0.00 0.00 μB per formula unit.